Entry 1:
## PrAgGe (PBE-GGA)

Data for a relaxed PrAgGe crystal.

SG: P6_3mc, No. 186

Unit cell a=4.5854 b=4.5854 c=7.7299 alpha=90.00 beta=90.00 gamma=120.00
With the nearest neighbours (Å) after each atom.
Sites, in units of the cell vectors:
Ag1 0.3333 0.6667 0.4865  3 Ge 2.69
Ag2 0.6667 0.3333 0.9865  3 Ge 2.69
Ge1 0.3333 0.6667 0.0458  3 Ag 2.69
Ge2 0.6667 0.3333 0.5458  3 Ag 2.69
Pr1 0.0000 0.0000 0.2581  6 Ge 3.11-3.46, 6 Ag 3.18-3.38
Pr2 0.0000 0.0000 0.7581  6 Ge 3.11-3.46, 6 Ag 3.18-3.38



Entry 2:
## Pr4AgGe3 (PBE-GGA)

Data for a relaxed Pr4AgGe3 crystal.

SG: Pm, No. 6

Unit cell a=6.0809 b=4.2588 c=8.2658 alpha=90.00 beta=91.32 gamma=90.00
With the nearest neighbours (Å) after each atom.
Sites, in units of the cell vectors:
Ag1 0.1298 0.0000 0.9642  2 Ge 2.78
Ge1 0.8593 0.5000 0.0424  2 Ag 2.78
Ge2 0.3620 0.0000 0.4574  2 Ge 2.78
Ge3 0.6375 0.5000 0.5382  2 Ge 2.78
Pr1 0.3785 0.5000 0.1765  2 Ag 3.13, 5 Ge 3.15-3.35
Pr2 0.8712 0.0000 0.3203  6 Ge 3.13-3.32, 1 Ag 3.37
Pr3 0.1324 0.5000 0.6799  5 Ge 3.16-3.46, 2 Ag 3.17
Pr4 0.6295 0.0000 0.8210  5 Ge 3.12-3.38, 2 Ag 3.24-3.29



Entry 3:
## PrAg2Ge2 (PBE-GGA)

Data for a relaxed PrAg2Ge2 crystal.

SG: I4/mmm, No. 139

Unit cell a=6.3592 b=6.3592 c=6.3592 alpha=140.11 beta=140.11 gamma=57.69
With the nearest neighbours (Å) after each atom.
Sites, in units of the cell vectors:
Ag1 0.7500 0.2500 0.5000  4 Ge 2.67
Ag2 0.2500 0.7500 0.5000  4 Ge 2.67
Ge1 0.3893 0.3893 0.0000  1 Ge 2.47, 4 Ag 2.67
Ge2 0.6107 0.6107 0.0000  1 Ge 2.47, 4 Ag 2.67
Pr1 0.0000 0.0000 0.0000  8 Ge 3.31, 8 Ag 3.53



Entry 4:
## PrAgGe (PBE-GGA)

Data for a relaxed PrAgGe crystal.

SG: F-43m, No. 216

Unit cell a=4.9474 b=4.9474 c=4.9474 alpha=60.00 beta=60.00 gamma=60.00
With the nearest neighbours (Å) after each atom.
Sites, in units of the cell vectors:
Ag1 0.2500 0.2500 0.2500  4 Pr 3.03
Ge1 0.7500 0.7500 0.7500  4 Pr 3.03
Pr1 0.0000 0.0000 0.0000  4 Ge 3.03, 4 Ag 3.03



Entry 5:
## PrAgGe (PBE-GGA)

Data for a relaxed PrAgGe crystal.

SG: F-43m, No. 216

Unit cell a=4.7598 b=4.7598 c=4.7598 alpha=60.00 beta=60.00 gamma=60.00
With the nearest neighbours (Å) after each atom.
Sites, in units of the cell vectors:
Ag1 0.0000 0.0000 0.0000  4 Pr 2.91, 4 Ge 2.91
Ge1 0.2500 0.2500 0.2500  4 Ag 2.91
Pr1 0.7500 0.7500 0.7500  4 Ag 2.91



Entry 6:
## PrAgGeSe2S (PBE-GGA)

Data for a relaxed PrAgGeSe2S crystal.

SG: Cmcm, No. 63

Unit cell a=6.9323 b=6.9323 c=10.7263 alpha=90.00 beta=90.00 gamma=145.96
With the nearest neighbours (Å) after each atom.
Sites, in units of the cell vectors:
Ag1 0.0189 0.9811 0.2500  2 S 2.57, 2 Se 2.62
Ag2 0.9811 0.0189 0.7500  2 S 2.57, 2 Se 2.62
Ge1 0.7419 0.2581 0.2500  2 S 2.91, 4 Se 3.01
Ge2 0.2581 0.7419 0.7500  2 S 2.91, 4 Se 3.01
Pr1 0.5000 0.5000 0.0000  2 S 2.99, 4 Se 2.99
Pr2 0.5000 0.5000 0.5000  2 S 2.99, 4 Se 2.99
S1 0.3996 0.6005 0.2500  2 Ag 2.57
S2 0.6005 0.3996 0.7500  2 Ag 2.57
Se1 0.1553 0.8447 0.0727  1 Ag 2.62
Se2 0.1553 0.8447 0.4273  1 Ag 2.62
Se3 0.8447 0.1553 0.5727  1 Ag 2.62
Se4 0.8447 0.1553 0.9273  1 Ag 2.62



Entry 7:
## PrAgGeTeS2 (PBE-GGA)

Data for a relaxed PrAgGeTeS2 crystal.

SG: Cmcm, No. 63

Unit cell a=7.0612 b=7.0612 c=11.3848 alpha=90.00 beta=90.00 gamma=146.70
With the nearest neighbours (Å) after each atom.
Sites, in units of the cell vectors:
Ag1 0.4881 0.5119 0.2500  2 S 2.52, 2 Te 2.81
Ag2 0.5119 0.4881 0.7500  2 S 2.52, 2 Te 2.81
Ge1 0.7981 0.2019 0.2500  4 S 2.94, 2 Te 3.02, 2 Ag 3.27
Ge2 0.2019 0.7981 0.7500  4 S 2.94, 2 Te 3.02, 2 Ag 3.27
Pr1 0.0000 0.0000 0.0000  4 S 2.86
Pr2 0.0000 0.0000 0.5000  4 S 2.86
S1 0.3676 0.6324 0.0812  1 Ag 2.52
S2 0.3676 0.6324 0.4188  1 Ag 2.52
S3 0.6324 0.3676 0.5812  1 Ag 2.52
S4 0.6324 0.3676 0.9188  1 Ag 2.52
Te1 0.1322 0.8678 0.2500  2 Ag 2.81, 2 Ge 3.02
Te2 0.8678 0.1322 0.7500  2 Ag 2.81, 2 Ge 3.02



Entry 8:
## PrAgGeTe2S (PBE-GGA)

Data for a relaxed PrAgGeTe2S crystal.

SG: Cmcm, No. 63

Unit cell a=7.6199 b=7.6199 c=10.5810 alpha=90.00 beta=90.00 gamma=147.63
With the nearest neighbours (Å) after each atom.
Sites, in units of the cell vectors:
Ag1 0.9840 0.0160 0.2500  2 S 2.56, 2 Te 2.85
Ag2 0.0160 0.9840 0.7500  2 S 2.56, 2 Te 2.85
Ge1 0.2687 0.7313 0.2500  4 Te 3.06
Ge2 0.7313 0.2687 0.7500  4 Te 3.06
Pr1 0.5000 0.5000 0.0000  2 S 2.90, 4 Te 3.23
Pr2 0.5000 0.5000 0.5000  2 S 2.90, 4 Te 3.23
S1 0.5813 0.4187 0.2500  2 Ag 2.56
S2 0.4187 0.5813 0.7500  2 Ag 2.56
Te1 0.8410 0.1590 0.0672  1 Ag 2.85, 2 Ge 3.06
Te2 0.8410 0.1590 0.4328  1 Ag 2.85, 2 Ge 3.06
Te3 0.1590 0.8410 0.5672  1 Ag 2.85, 2 Ge 3.06
Te4 0.1590 0.8410 0.9328  1 Ag 2.85, 2 Ge 3.06



Entry 9:
## PrScAg2Ge2 (PBE-GGA)

Data for a relaxed PrScAg2Ge2 crystal.

SG: P3m1, No. 156

Unit cell a=4.4811 b=4.4811 c=7.3179 alpha=90.00 beta=90.00 gamma=120.00
With the nearest neighbours (Å) after each atom.
Sites, in units of the cell vectors:
Ag1 0.6667 0.3333 0.5029  3 Ge 2.61
Ag2 0.3333 0.6667 0.9332  4 Ge 2.67-2.78, 3 Sc 2.93
Ge1 0.6667 0.3333 0.0207  3 Ag 2.67
Ge2 0.3333 0.6667 0.5530  4 Ag 2.61-2.78
Pr1 0.0000 0.0000 0.2442  3 Ge 3.06, 3 Ag 3.21
Sc1 0.0000 0.0000 0.7460  6 Ag 2.93-3.14, 6 Ge 2.95-3.28



Entry 10:
## PrAgGeSe3 (PBE-GGA)

Data for a relaxed PrAgGeSe3 crystal.

SG: Cmcm, No. 63

Unit cell a=7.0040 b=7.0040 c=11.1158 alpha=90.00 beta=90.00 gamma=33.79
With the nearest neighbours (Å) after each atom.
Sites, in units of the cell vectors:
Ag1 0.4782 0.4782 0.2500  4 Se 2.62-2.68
Ag2 0.5218 0.5218 0.7500  4 Se 2.62-2.68
Ge1 0.7717 0.7717 0.2500  6 Se 2.99-3.00
Ge2 0.2283 0.2283 0.7500  6 Se 2.99-3.00
Pr1 0.0000 0.0000 0.0000  6 Se 3.00-3.14
Pr2 0.0000 0.0000 0.5000  6 Se 3.00-3.14
Se1 0.3479 0.3479 0.0741  1 Ag 2.62
Se2 0.1087 0.1087 0.2500  2 Ag 2.68, 2 Ge 2.99
Se3 0.3479 0.3479 0.4259  1 Ag 2.62
Se4 0.6521 0.6521 0.5741  1 Ag 2.62
Se5 0.8913 0.8913 0.7500  2 Ag 2.68, 2 Ge 2.99
Se6 0.6521 0.6521 0.9259  1 Ag 2.62



Entry 11:
## PrAgGeTe2Se (PBE-GGA)

Data for a relaxed PrAgGeTe2Se crystal.

SG: Cmcm, No. 63

Unit cell a=7.5370 b=7.5370 c=10.9266 alpha=90.00 beta=90.00 gamma=147.30
With the nearest neighbours (Å) after each atom.
Sites, in units of the cell vectors:
Ag1 0.0181 0.9819 0.2500  2 Se 2.68, 2 Te 2.82
Ag2 0.9819 0.0181 0.7500  2 Se 2.68, 2 Te 2.82
Ge1 0.7346 0.2654 0.2500  4 Te 3.09, 2 Se 3.25
Ge2 0.2654 0.7346 0.7500  4 Te 3.09, 2 Se 3.25
Pr1 0.5000 0.5000 0.0000  2 Se 3.06, 4 Te 3.22
Pr2 0.5000 0.5000 0.5000  2 Se 3.06, 4 Te 3.22
Se1 0.4048 0.5952 0.2500  2 Ag 2.68
Se2 0.5952 0.4048 0.7500  2 Ag 2.68
Te1 0.1585 0.8415 0.0712  1 Ag 2.82, 2 Ge 3.09
Te2 0.1585 0.8415 0.4288  1 Ag 2.82, 2 Ge 3.09
Te3 0.8415 0.1585 0.5712  1 Ag 2.82, 2 Ge 3.09
Te4 0.8415 0.1585 0.9288  1 Ag 2.82, 2 Ge 3.09



no.,magnetic moment (μB per atom),total DFT energy (no corrections) (eV/atom)
1,0.000,-4.69
2,0.026,-5.13
3,0.001,-4.37
4,0.001,-4.07
5,0.001,-4.50
6,0.000,-4.64
7,0.000,-4.65
8,0.000,-4.37
9,0.002,-4.90
10,0.000,-4.54
11,0.000,-4.27